#i
First-principles (PBE-GGA) data for a relaxed structure of HgAsRu2, as listed in Alexandria.

a b c (Å): 2.9955 4.6101 4.9565
angles (deg): 90.00 90.00 90.00
With the nearest neighbours (Å) after each atom.
Positions (direct):
Hg  0.0000  0.0000  0.0000  6 Ru 2.83-2.96, 2 Hg 3.00, 4 As 3.08
As  0.5000  0.5000  0.2791  4 Ru 2.41-2.58
Ru  0.0000  0.5000  0.6589  2 As 2.41
Ru  0.5000  0.0000  0.5146  2 As 2.58, 2 Hg 2.83, 4 Ru 2.84

Results
* magnetization: 0.00 μB/atom
* volume: 68.4 Å³/f.u.



#ii
First-principles (PBE-GGA) data for a relaxed structure of HgAsRu2, as listed in Alexandria.

a b c (Å): 2.8689 2.8689 31.2634
angles (deg): 90.00 90.00 120.00
With the nearest neighbours (Å) after each atom.
Positions (direct):
Hg  0.0000  0.0000  0.0000  6 Hg 2.87, 3 Ru 3.02
Hg  0.3333  0.6667  0.6667  6 Hg 2.87, 3 Ru 3.02
Hg  0.6667  0.3333  0.3333  6 Hg 2.87, 3 Ru 3.02
As  0.0000  0.0000  0.2089  3 Ru 2.54
As  0.3333  0.6667  0.8756  3 Ru 2.54
As  0.6667  0.3333  0.5422  3 Ru 2.54
Ru  0.0000  0.0000  0.4808  3 As 2.54, 3 Ru 2.67
Ru  0.0000  0.0000  0.7473  9 Ru 2.67-2.87
Ru  0.3333  0.6667  0.1475  3 As 2.54, 3 Ru 2.67
Ru  0.3333  0.6667  0.4139  9 Ru 2.67-2.87
Ru  0.6667  0.3333  0.0806  9 Ru 2.67-2.87
Ru  0.6667  0.3333  0.8142  3 As 2.54, 3 Ru 2.67

Results
* magnetization: 0.00 μB/atom
* volume: 74.3 Å³/f.u.



#iii
First-principles (PBE-GGA) data for a relaxed structure of HgAsRu2, as listed in Alexandria.

a b c (Å): 3.9534 3.9534 8.3967
angles (deg): 90.00 90.00 90.00
With the nearest neighbours (Å) after each atom.
Positions (direct):
Hg  0.0000  0.0000  0.0000  8 Ru 2.80-2.88, 4 As 2.88
Hg  0.5000  0.5000  0.5000  8 Ru 2.80-2.88, 4 As 2.88
As  0.0000  0.5000  0.2500  8 Ru 2.80-2.88, 4 Hg 2.88
As  0.5000  0.0000  0.7500  8 Ru 2.80-2.88, 4 Hg 2.88
Ru  0.0000  0.0000  0.5000  4 Hg 2.80, 4 As 2.88, 4 Ru 2.88
Ru  0.0000  0.5000  0.7500  4 As 2.80, 4 Hg 2.88, 4 Ru 2.88
Ru  0.5000  0.0000  0.2500  4 As 2.80, 4 Hg 2.88, 4 Ru 2.88
Ru  0.5000  0.5000  0.0000  4 Hg 2.80, 4 As 2.88, 4 Ru 2.88

Results
* magnetization: 0.26 μB/atom
* volume: 65.6 Å³/f.u.



Referenced to the most stable arrangement, the calculated values in eV/atom are #i 0.054; #ii 0.000; #iii 0.334.



#i
First-principles (PBE-GGA) data for a relaxed structure of Hg3AsRu, as listed in Alexandria.

a b c (Å): 5.2277 5.2277 5.2277
angles (deg): 90.00 90.00 90.00
With the nearest neighbours (Å) after each atom.
Positions (direct):
Hg  0.0000  0.0000  0.5000  2 As 2.61
Hg  0.0000  0.5000  0.0000  2 As 2.61
Hg  0.5000  0.0000  0.0000  2 As 2.61
As  0.0000  0.0000  0.0000  6 Hg 2.61
Ru  0.5000  0.5000  0.5000  12 Hg 3.70

Results
* magnetization: 0.55 μB/atom
* volume: 142.9 Å³/f.u.



#ii
First-principles (PBE-GGA) data for a relaxed structure of Hg3AsRu, as listed in Alexandria.

a b c (Å): 5.2361 5.2361 5.2361
angles (deg): 90.00 90.00 90.00
With the nearest neighbours (Å) after each atom.
Positions (direct):
Hg  0.0000  0.0000  0.5000  2 Ru 2.62
Hg  0.0000  0.5000  0.0000  2 Ru 2.62
Hg  0.5000  0.0000  0.0000  2 Ru 2.62
As  0.5000  0.5000  0.5000  12 Hg 3.70
Ru  0.0000  0.0000  0.0000  6 Hg 2.62

Results
* magnetization: 0.58 μB/atom
* volume: 143.6 Å³/f.u.



Referenced to the most stable arrangement, the calculated values in eV/atom are #i 0.260; #ii 0.000.



#i
First-principles (PBE-GGA) data for a relaxed structure of HgAs2Ru2, as listed in Alexandria.

a b c (Å): 7.4382 7.4382 3.0173
angles (deg): 90.00 90.00 90.00
With the nearest neighbours (Å) after each atom.
Positions (direct):
Hg  0.0000  0.0000  0.0000  4 Ru 2.87, 2 Hg 3.02
Hg  0.5000  0.5000  0.0000  4 Ru 2.87, 2 Hg 3.02
As  0.1432  0.3568  0.5000  6 Ru 2.59-2.73
As  0.3568  0.8568  0.5000  6 Ru 2.59-2.73
As  0.6432  0.1432  0.5000  6 Ru 2.59-2.73
As  0.8568  0.6432  0.5000  6 Ru 2.59-2.73
Ru  0.1403  0.6403  0.0000  6 As 2.59-2.73, 2 Hg 2.87
Ru  0.3597  0.1403  0.0000  6 As 2.59-2.73, 2 Hg 2.87
Ru  0.6403  0.8597  0.0000  6 As 2.59-2.73, 2 Hg 2.87
Ru  0.8597  0.3597  0.0000  6 As 2.59-2.73, 2 Hg 2.87

Results
* magnetization: 0.00 μB/atom
* volume: 83.5 Å³/f.u.



#ii
First-principles (PBE-GGA) data for a relaxed structure of HgAs2Ru2, as listed in Alexandria.

a b c (Å): 3.8892 3.8892 11.6584
angles (deg): 90.00 90.00 90.00
With the nearest neighbours (Å) after each atom.
Positions (direct):
Hg  0.0000  0.0000  0.0000  8 Ru 3.08
Hg  0.5000  0.5000  0.5000  8 Ru 3.08
As  0.0000  0.5000  0.2500  4 Ru 2.47, 4 As 2.75
As  0.0000  0.5000  0.7500  4 Ru 2.47, 4 As 2.75
As  0.5000  0.0000  0.2500  4 Ru 2.47, 4 As 2.75
As  0.5000  0.0000  0.7500  4 Ru 2.47, 4 As 2.75
Ru  0.0000  0.0000  0.3808  4 As 2.47
Ru  0.0000  0.0000  0.6192  4 As 2.47
Ru  0.5000  0.5000  0.1192  4 As 2.47
Ru  0.5000  0.5000  0.8808  4 As 2.47

Results
* magnetization: 0.00 μB/atom
* volume: 88.2 Å³/f.u.



Referenced to the most stable arrangement, the calculated values in eV/atom are #i 0.000; #ii 0.029.